Entry 1:
# GGA-PBE Pm5MgHg3, optimized geometry
# Energy of formation   -0.31 eV/atom
data_Pm5MgHg3
_cell_length_a 9.3387
_cell_length_b 9.3387
_cell_length_c 6.8267
_cell_angle_alpha 90.00
_cell_angle_beta 90.00
_cell_angle_gamma 120.00
_symmetry_space_group_name_H-M 'P 63/m c m'
_symmetry_Int_Tables_number 193
_symmetry_space_group_name_Hall '-P 6c 2'
loop_
_atom_site_label
_atom_site_type_symbol
_atom_site_fract_x
_atom_site_fract_y
_atom_site_fract_z
_atom_site_occupancy
Pm1 Pm 0.0000 0.3102 0.2500 1
Pm2 Pm 0.3333 0.6667 0.0000 1
Mg1 Mg 0.0000 0.0000 0.0000 1
Hg1 Hg 0.0000 0.3525 0.7500 1

---

Entry 2:
# GGA-PBE YPuOsRh, optimized geometry
# Energy of formation   -0.30 eV/atom
data_YPuOsRh
_cell_length_a 6.8298
_cell_length_b 6.8298
_cell_length_c 6.8298
_cell_angle_alpha 90.00
_cell_angle_beta 90.00
_cell_angle_gamma 90.00
_symmetry_space_group_name_H-M 'F -4 3 m'
_symmetry_Int_Tables_number 216
_symmetry_space_group_name_Hall 'F -4 2 3'
loop_
_atom_site_label
_atom_site_type_symbol
_atom_site_fract_x
_atom_site_fract_y
_atom_site_fract_z
_atom_site_occupancy
Y1 Y 0.0000 0.0000 0.0000 1
Pu1 Pu 0.0000 0.0000 0.5000 1
Os1 Os 0.2500 0.2500 0.7500 1
Rh1 Rh 0.2500 0.2500 0.2500 1